FeSiP3 | PBEsol | relaxed

The value obtained for the final energy is -26.87 eV per cell. As for the space-group type: No. 221. The uncorrected formation energy is 1.042 eV per atom. Its density of states at the Fermi level is 1.0563 states/eV per atom.

Structure (CIF):
```
data_FeSiP3
_space_group_name_H-M_alt 'P 1'
_space_group_IT_number 1
_cell_length_a 4.412
_cell_length_b 4.412
_cell_length_c 4.412
_cell_angle_alpha 90.00
_cell_angle_beta 90.00
_cell_angle_gamma 90.00
loop_
_space_group_symop_operation_xyz
'x,y,z'
loop_
_atom_site_label
_atom_site_fract_x
_atom_site_fract_y
_atom_site_fract_z
Fe1 0.500 0.500 0.500
P1 0.500 0.000 0.000
Si1 0.000 0.000 0.000
P2 0.000 0.500 0.000
P3 0.000 0.000 0.500
```

=====

KAl2Se2 | PBEsol | relaxed

The value obtained for the final energy is -18.75 eV per cell. As for the space-group type: No. 139. The uncorrected formation energy is -0.346 eV per atom. Its density of states at the Fermi level is 0.2591 states/eV per atom.

Structure (CIF):
```
data_KAl2Se2
_space_group_name_H-M_alt 'P 1'
_space_group_IT_number 1
_cell_length_a 4.946
_cell_length_b 4.946
_cell_length_c 6.790
_cell_angle_alpha 111.36
_cell_angle_beta 111.36
_cell_angle_gamma 90.00
loop_
_space_group_symop_operation_xyz
'x,y,z'
loop_
_atom_site_label
_atom_site_fract_x
_atom_site_fract_y
_atom_site_fract_z
Al1 0.250 0.750 0.500
K1 0.000 0.000 0.000
Se1 0.330 0.330 0.661
Se2 0.670 0.670 0.339
Al2 0.750 0.250 0.500
```

=====

Tc2Mo | PBEsol | relaxed

The value obtained for the final energy is -33.93 eV per cell. As for the space-group type: No. 139. Its density of states at the Fermi level is 0.8266 states/eV per atom. The value obtained for the energy of formation is 0.1228 eV per atom.

Structure (CIF):
```
data_Tc2Mo
_space_group_name_H-M_alt 'P 1'
_space_group_IT_number 1
_cell_length_a 2.712
_cell_length_b 2.712
_cell_length_c 6.239
_cell_angle_alpha 102.55
_cell_angle_beta 102.55
_cell_angle_gamma 90.00
loop_
_space_group_symop_operation_xyz
'x,y,z'
loop_
_atom_site_label
_atom_site_fract_x
_atom_site_fract_y
_atom_site_fract_z
Mo1 0.000 0.000 0.000
Tc1 0.675 0.675 0.350
Tc2 0.325 0.325 0.650
```

=====

Ba2LaHg | PBEsol | relaxed

The value obtained for the final energy is -10.41 eV per cell. As for the space-group type: No. 123. Its density of states at the Fermi level is 1.2991 states/eV per atom. The value obtained for the energy of formation is -0.0494 eV per atom.

Structure (CIF):
```
data_Ba2LaHg
_space_group_name_H-M_alt 'P 1'
_space_group_IT_number 1
_cell_length_a 3.999
_cell_length_b 6.084
_cell_length_c 6.084
_cell_angle_alpha 90.00
_cell_angle_beta 90.00
_cell_angle_gamma 90.00
loop_
_space_group_symop_operation_xyz
'x,y,z'
loop_
_atom_site_label
_atom_site_fract_x
_atom_site_fract_y
_atom_site_fract_z
Ba1 0.000 0.000 0.500
Hg1 0.500 0.500 0.500
La1 0.500 0.000 0.000
Ba2 0.000 0.500 0.000
```

=====

LiInHg2 | PBEsol | relaxed

The value obtained for the final energy is -6.96 eV per cell. As for the space-group type: No. 119. Its density of states at the Fermi level is 0.3334 states/eV per atom. The value obtained for the energy of formation is -0.2196 eV per atom.

Structure (CIF):
```
data_LiInHg2
_space_group_name_H-M_alt 'P 1'
_space_group_IT_number 1
_cell_length_a 4.324
_cell_length_b 4.325
_cell_length_c 5.412
_cell_angle_alpha 113.61
_cell_angle_beta 113.55
_cell_angle_gamma 90.00
loop_
_space_group_symop_operation_xyz
'x,y,z'
loop_
_atom_site_label
_atom_site_fract_x
_atom_site_fract_y
_atom_site_fract_z
Hg1 0.750 0.250 0.500
Li1 0.250 0.750 0.500
In1 0.500 0.500 0.000
Hg2 0.000 0.000 0.000
```

=====

Mg2In2P | PBEsol | relaxed

The value obtained for the final energy is -14.17 eV per cell. As for the space-group type: No. 139. Its density of states at the Fermi level is 0.5746 states/eV per atom. The value obtained for the energy of formation is 0.2043 eV per atom.

Structure (CIF):
```
data_Mg2In2P
_space_group_name_H-M_alt 'P 1'
_space_group_IT_number 1
_cell_length_a 3.883
_cell_length_b 3.883
_cell_length_c 8.325
_cell_angle_alpha 103.48
_cell_angle_beta 103.48
_cell_angle_gamma 90.00
loop_
_space_group_symop_operation_xyz
'x,y,z'
loop_
_atom_site_label
_atom_site_fract_x
_atom_site_fract_y
_atom_site_fract_z
In1 0.750 0.250 0.500
In2 0.250 0.750 0.500
P1 0.000 0.000 0.000
Mg1 0.588 0.588 0.175
Mg2 0.412 0.412 0.825
```

=====

no.,size of the total moment (Bohr magnetons per cell)
1,2.86
2,0.00
3,0.00
4,0.00
5,0.00
6,0.00